Entry 1:
! BaEu2Au | Alexandria | GGA-PBE | relaxed; values from VASP
! Calculated formation energy: -380 meV per atom
! Volume: 152.6 Å³/f.u.
! Density of states at the Fermi level: 15.56 states/eV per cell
! Space group: No. 123
! Polymorph energy (0 for the lowest one): 0 meV per atom
&SYSTEM
  ibrav = 0, nat = 4, ntyp = 3
/
ATOMIC_SPECIES
Ba 137.33 Ba.upf
Eu 151.96 Eu.upf
Au 196.97 Au.upf
CELL_PARAMETERS angstrom
3.900 0.000 0.000
0.000 3.900 0.000
0.000 0.000 10.028
ATOMIC_POSITIONS crystal
Ba 0.000 0.000 0.000
Eu 0.500 0.500 0.328
Eu 0.500 0.500 0.672
Au 0.000 0.000 0.500

***

Entry 2:
! MgCr4 | Alexandria | GGA-PBE | relaxed; values from VASP
! Calculated formation energy: 1825 meV per atom
! Volume: 111.1 Å³/f.u.
! Density of states at the Fermi level: 2.58 states/eV per cell
! Space group: No. 221
! Polymorph energy (0 for the lowest one): 1388 meV per atom
&SYSTEM
  ibrav = 0, nat = 5, ntyp = 2
/
ATOMIC_SPECIES
Mg 24.30 Mg.upf
Cr 52.00 Cr.upf
CELL_PARAMETERS angstrom
4.807 0.000 0.000
0.000 4.807 0.000
0.000 0.000 4.807
ATOMIC_POSITIONS crystal
Mg 0.000 0.000 0.000
Cr 0.000 0.000 0.500
Cr 0.000 0.500 0.000
Cr 0.500 0.000 0.000
Cr 0.500 0.500 0.500

***

Entry 3:
! Te2MoPbC | Alexandria | GGA-PBE | relaxed; values from VASP
! Volume: 108.6 Å³/f.u.
! Density of states at the Fermi level: 3.52 states/eV per cell
! Space group: No. 123
! Energy relative to the elements, uncorrected: 1.40 eV per atom
&SYSTEM
  ibrav = 0, nat = 5, ntyp = 4
/
ATOMIC_SPECIES
Te 127.60 Te.upf
Mo 95.94 Mo.upf
Pb 207.20 Pb.upf
C 12.01 C.upf
CELL_PARAMETERS angstrom
4.723 0.000 0.000
0.000 4.723 0.000
0.000 0.000 4.868
ATOMIC_POSITIONS crystal
Te 0.000 0.500 0.000
Te 0.500 0.000 0.000
Mo 0.000 0.000 0.500
Pb 0.500 0.500 0.500
C 0.500 0.500 0.000

***

Entry 4:
! AlCu | Alexandria | GGA-PBE | relaxed; values from VASP
! Calculated formation energy: -78 meV per atom
! Volume: 27.8 Å³/f.u.
! Density of states at the Fermi level: 2.92 states/eV per cell
! Space group: No. 166
&SYSTEM
  ibrav = 0, nat = 12, ntyp = 2
/
ATOMIC_SPECIES
Al 26.98 Al.upf
Cu 63.55 Cu.upf
CELL_PARAMETERS angstrom
2.776 0.000 0.000
-1.388 2.404 0.000
0.000 0.000 25.016
ATOMIC_POSITIONS crystal
Al 0.000 0.000 0.120
Al 0.000 0.000 0.880
Al 0.333 0.667 0.546
Al 0.333 0.667 0.787
Al 0.667 0.333 0.213
Al 0.667 0.333 0.454
Cu 0.000 0.000 0.373
Cu 0.000 0.000 0.627
Cu 0.333 0.667 0.040
Cu 0.333 0.667 0.293
Cu 0.667 0.333 0.707
Cu 0.667 0.333 0.960

***

Entry 5:
! GaFeCo3 | Alexandria | GGA-PBE | relaxed; values from VASP
! Calculated formation energy: 111 meV per atom
! Volume: 63.6 Å³/f.u.
! Density of states at the Fermi level: 12.09 states/eV per cell
! Space group: No. 2
! Polymorph energy (0 for the lowest one): 0 meV per atom
&SYSTEM
  ibrav = 0, nat = 10, ntyp = 3
/
ATOMIC_SPECIES
Ga 69.72 Ga.upf
Fe 55.84 Fe.upf
Co 58.93 Co.upf
CELL_PARAMETERS angstrom
4.416 0.000 0.000
-1.824 5.375 0.000
-1.832 -0.633 5.356
ATOMIC_POSITIONS crystal
Ga 0.001 0.197 0.197
Ga 0.999 0.803 0.803
Fe 0.333 0.595 0.594
Fe 0.667 0.405 0.406
Co 0.000 0.247 0.753
Co 0.000 0.753 0.247
Co 0.342 0.084 0.588
Co 0.343 0.588 0.084
Co 0.657 0.412 0.916
Co 0.658 0.916 0.412

***

Entry 6:
! Hf2ZnAu6 | Alexandria | GGA-PBE | relaxed; values from VASP
! Calculated formation energy: -426 meV per atom
! Volume: 165.0 Å³/f.u.
! Density of states at the Fermi level: 2.60 states/eV per cell
! Space group: No. 12
! Polymorph energy (0 for the lowest one): 0 meV per atom
&SYSTEM
  ibrav = 0, nat = 9, ntyp = 3
/
ATOMIC_SPECIES
Hf 178.49 Hf.upf
Zn 65.41 Zn.upf
Au 196.97 Au.upf
CELL_PARAMETERS angstrom
2.496 -7.588 0.000
2.496 7.588 0.000
-2.436 0.000 4.357
ATOMIC_POSITIONS crystal
Hf 0.163 0.837 0.000
Hf 0.837 0.163 0.000
Zn 0.000 0.000 0.500
Au 0.166 0.500 0.670
Au 0.327 0.327 0.172
Au 0.500 0.166 0.670
Au 0.500 0.834 0.330
Au 0.673 0.673 0.828
Au 0.834 0.500 0.330

***

Entry 7:
! Sb2Pb | Alexandria | GGA-PBE | relaxed; values from VASP
! Volume: 96.7 Å³/f.u.
! Density of states at the Fermi level: 5.31 states/eV per cell
! Space group: No. 8
! Polymorph energy (0 for the lowest one): 5 meV per atom
! Energy relative to the elements, uncorrected: 0.07 eV per atom
&SYSTEM
  ibrav = 0, nat = 12, ntyp = 2
/
ATOMIC_SPECIES
Sb 121.76 Sb.upf
Pb 207.20 Pb.upf
CELL_PARAMETERS angstrom
12.985 0.000 0.000
0.000 4.048 0.000
-0.007 0.000 7.359
ATOMIC_POSITIONS crystal
Sb 0.000 0.000 0.000
Sb 0.114 0.500 0.205
Sb 0.252 0.500 0.705
Sb 0.366 0.000 0.500
Sb 0.500 0.500 0.000
Sb 0.614 0.000 0.205
Sb 0.752 0.000 0.705
Sb 0.866 0.500 0.500
Pb 0.065 0.000 0.578
Pb 0.301 0.000 0.078
Pb 0.565 0.500 0.578
Pb 0.801 0.500 0.078

***

Entry 8:
! BiPdPb3 | Alexandria | GGA-PBE | relaxed; values from VASP
! Calculated formation energy: 45 meV per atom
! Volume: 157.6 Å³/f.u.
! Density of states at the Fermi level: 2.18 states/eV per cell
! Space group: No. 221
&SYSTEM
  ibrav = 0, nat = 5, ntyp = 3
/
ATOMIC_SPECIES
Bi 208.98 Bi.upf
Pd 106.42 Pd.upf
Pb 207.20 Pb.upf
CELL_PARAMETERS angstrom
5.401 0.000 0.000
0.000 5.401 0.000
0.000 0.000 5.401
ATOMIC_POSITIONS crystal
Bi 0.000 0.000 0.000
Pd 0.500 0.500 0.500
Pb 0.000 0.500 0.500
Pb 0.500 0.000 0.500
Pb 0.500 0.500 0.000

***

Entry 9:
! KSiSnSe4 | Alexandria | GGA-PBE | relaxed; values from VASP
! Volume: 205.0 Å³/f.u.
! Density of states at the Fermi level: 4.02 states/eV per cell
! Space group: No. 11
! Energy relative to the elements, uncorrected: -0.61 eV per atom
&SYSTEM
  ibrav = 0, nat = 14, ntyp = 4
/
ATOMIC_SPECIES
K 39.10 K.upf
Si 28.09 Si.upf
Sn 118.71 Sn.upf
Se 78.96 Se.upf
CELL_PARAMETERS angstrom
6.591 0.000 0.000
0.000 7.133 0.000
-2.969 0.000 8.720
ATOMIC_POSITIONS crystal
K 0.232 0.250 0.436
K 0.768 0.750 0.564
Si 0.279 0.750 0.172
Si 0.721 0.250 0.828
Sn 0.278 0.250 0.956
Sn 0.722 0.750 0.044
Se 0.061 0.750 0.924
Se 0.075 0.750 0.328
Se 0.489 0.501 0.782
Se 0.489 0.999 0.782
Se 0.511 0.001 0.218
Se 0.511 0.499 0.218
Se 0.925 0.250 0.672
Se 0.939 0.250 0.076

***

Entry 10:
! Rb2YAsCl6 | Alexandria | GGA-PBE | relaxed; values from VASP
! Volume: 347.8 Å³/f.u.
! Density of states at the Fermi level: 0.00 states/eV per cell
! Space group: No. 139
! Energy relative to the elements, uncorrected: -1.57 eV per atom
&SYSTEM
  ibrav = 0, nat = 10, ntyp = 4
/
ATOMIC_SPECIES
Rb 85.47 Rb.upf
Y 88.91 Y.upf
As 74.92 As.upf
Cl 35.45 Cl.upf
CELL_PARAMETERS angstrom
-3.669 3.669 6.459
3.669 -3.669 6.459
3.669 3.669 -6.459
ATOMIC_POSITIONS crystal
Rb 0.250 0.750 0.500
Rb 0.750 0.250 0.500
Y 0.000 0.000 0.000
As 0.500 0.500 0.000
Cl 0.204 0.204 0.000
Cl 0.254 0.254 0.507
Cl 0.254 0.746 0.000
Cl 0.746 0.254 0.000
Cl 0.746 0.746 0.493
Cl 0.796 0.796 0.000

***

Entry 11:
! Sc2MoC | Alexandria | GGA-PBE | relaxed; values from VASP
! Calculated formation energy: 133 meV per atom
! Volume: 72.6 Å³/f.u.
! Density of states at the Fermi level: 19.06 states/eV per cell
! Space group: No. 122
&SYSTEM
  ibrav = 0, nat = 16, ntyp = 3
/
ATOMIC_SPECIES
Sc 44.96 Sc.upf
Mo 95.94 Mo.upf
C 12.01 C.upf
CELL_PARAMETERS angstrom
8.386 0.000 0.000
0.000 8.386 0.000
0.000 0.000 4.127
ATOMIC_POSITIONS crystal
Sc 0.103 0.250 0.125
Sc 0.250 0.603 0.375
Sc 0.250 0.897 0.875
Sc 0.397 0.250 0.625
Sc 0.603 0.750 0.625
Sc 0.750 0.103 0.875
Sc 0.750 0.397 0.375
Sc 0.897 0.750 0.125
Mo 0.000 0.000 0.500
Mo 0.000 0.500 0.750
Mo 0.500 0.000 0.250
Mo 0.500 0.500 0.000
C 0.000 0.000 0.000
C 0.000 0.500 0.250
C 0.500 0.000 0.750
C 0.500 0.500 0.500

***

Entry 12:
! VCo2AgSe | Alexandria | GGA-PBE | relaxed; values from VASP
! Volume: 88.0 Å³/f.u.
! Density of states at the Fermi level: 12.92 states/eV per cell
! Space group: No. 123
! Energy relative to the elements, uncorrected: 1.09 eV per atom
&SYSTEM
  ibrav = 0, nat = 5, ntyp = 4
/
ATOMIC_SPECIES
V 50.94 V.upf
Co 58.93 Co.upf
Ag 107.87 Ag.upf
Se 78.96 Se.upf
CELL_PARAMETERS angstrom
4.279 0.000 0.000
0.000 4.279 0.000
0.000 0.000 4.809
ATOMIC_POSITIONS crystal
V 0.000 0.000 0.000
Co 0.000 0.500 0.500
Co 0.500 0.000 0.500
Ag 0.500 0.500 0.000
Se 0.500 0.500 0.500

***

Entry 13:
! Cs2TmSbS4 | Alexandria | GGA-PBE | relaxed; values from VASP
! Volume: 327.3 Å³/f.u.
! Density of states at the Fermi level: 0.00 states/eV per cell
! Space group: No. 70
! Energy relative to the elements, uncorrected: -1.09 eV per atom
&SYSTEM
  ibrav = 0, nat = 16, ntyp = 4
/
ATOMIC_SPECIES
Cs 132.91 Cs.upf
Tm 168.93 Tm.upf
Sb 121.76 Sb.upf
S 32.06 S.upf
CELL_PARAMETERS angstrom
0.000 7.558 12.491
3.467 0.000 12.491
3.467 7.558 0.000
ATOMIC_POSITIONS crystal
Cs 0.056 0.056 0.694
Cs 0.306 0.306 0.944
Cs 0.694 0.694 0.056
Cs 0.944 0.944 0.306
Tm 0.125 0.125 0.125
Tm 0.875 0.875 0.875
Sb 0.375 0.375 0.375
Sb 0.625 0.625 0.625
S 0.034 0.320 0.406
S 0.260 0.594 0.680
S 0.320 0.034 0.740
S 0.406 0.740 0.034
S 0.594 0.260 0.966
S 0.680 0.966 0.260
S 0.740 0.406 0.320
S 0.966 0.680 0.594

***

Entry 14:
! TiAuSCl2 | Alexandria | GGA-PBE | relaxed; values from VASP
! Volume: 121.6 Å³/f.u.
! Density of states at the Fermi level: 7.42 states/eV per cell
! Space group: No. 123
! Polymorph energy (0 for the lowest one): 758 meV per atom
! Energy relative to the elements, uncorrected: 0.26 eV per atom
&SYSTEM
  ibrav = 0, nat = 5, ntyp = 4
/
ATOMIC_SPECIES
Ti 47.87 Ti.upf
Au 196.97 Au.upf
S 32.06 S.upf
Cl 35.45 Cl.upf
CELL_PARAMETERS angstrom
4.881 0.000 0.000
0.000 4.881 0.000
0.000 0.000 5.103
ATOMIC_POSITIONS crystal
Ti 0.000 0.000 0.000
Au 0.500 0.500 0.500
S 0.500 0.500 0.000
Cl 0.000 0.500 0.500
Cl 0.500 0.000 0.500

***

Entry 15:
! Li2MgMoH8 | Alexandria | GGA-PBE | relaxed; values from VASP
! Volume: 90.8 Å³/f.u.
! Density of states at the Fermi level: 2.32 states/eV per cell
! Space group: No. 119
! Electronic total energy: -3.6914 eV per atom
&SYSTEM
  ibrav = 0, nat = 12, ntyp = 4
/
ATOMIC_SPECIES
Li 6.94 Li.upf
Mg 24.30 Mg.upf
Mo 95.94 Mo.upf
H 1.01 H.upf
CELL_PARAMETERS angstrom
-2.255 2.255 4.467
2.255 -2.255 4.467
2.255 2.255 -4.467
ATOMIC_POSITIONS crystal
Li 0.000 0.000 0.000
Li 0.750 0.250 0.500
Mg 0.500 0.500 0.000
Mo 0.250 0.750 0.500
H 0.123 0.099 0.490
H 0.123 0.633 0.024
H 0.367 0.391 0.490
H 0.367 0.877 0.976
H 0.609 0.099 0.976
H 0.609 0.633 0.510
H 0.901 0.391 0.024
H 0.901 0.877 0.510

***

Entry 16:
! Al2CuBiRu | Alexandria | GGA-PBE | relaxed; values from VASP
! Calculated formation energy: 384 meV per atom
! Volume: 106.2 Å³/f.u.
! Density of states at the Fermi level: 3.78 states/eV per cell
! Space group: No. 123
! Polymorph energy (0 for the lowest one): 0 meV per atom
&SYSTEM
  ibrav = 0, nat = 5, ntyp = 4
/
ATOMIC_SPECIES
Al 26.98 Al.upf
Cu 63.55 Cu.upf
Bi 208.98 Bi.upf
Ru 101.07 Ru.upf
CELL_PARAMETERS angstrom
4.651 0.000 0.000
0.000 4.651 0.000
0.000 0.000 4.909
ATOMIC_POSITIONS crystal
Al 0.000 0.500 0.000
Al 0.500 0.000 0.000
Cu 0.000 0.000 0.500
Bi 0.500 0.500 0.500
Ru 0.000 0.000 0.000

***

Entry 17:
! Sr2MgSnRh | Alexandria | GGA-PBE | relaxed; values from VASP
! Calculated formation energy: -267 meV per atom
! Volume: 171.7 Å³/f.u.
! Density of states at the Fermi level: 3.47 states/eV per cell
! Space group: No. 123
&SYSTEM
  ibrav = 0, nat = 5, ntyp = 4
/
ATOMIC_SPECIES
Sr 87.62 Sr.upf
Mg 24.30 Mg.upf
Sn 118.71 Sn.upf
Rh 102.91 Rh.upf
CELL_PARAMETERS angstrom
5.799 0.000 0.000
0.000 5.799 0.000
0.000 0.000 5.104
ATOMIC_POSITIONS crystal
Sr 0.000 0.500 0.000
Sr 0.500 0.000 0.000
Mg 0.000 0.000 0.500
Sn 0.500 0.500 0.500
Rh 0.500 0.500 0.000

***

Entry 18:
! Mg2FeTe | Alexandria | GGA-PBE | relaxed; values from VASP
! Volume: 84.5 Å³/f.u.
! Density of states at the Fermi level: 3.16 states/eV per cell
! Space group: No. 6
! Energy relative to the elements, uncorrected: 0.01 eV per atom
&SYSTEM
  ibrav = 0, nat = 4, ntyp = 3
/
ATOMIC_SPECIES
Mg 24.30 Mg.upf
Fe 55.84 Fe.upf
Te 127.60 Te.upf
CELL_PARAMETERS angstrom
3.858 0.000 0.000
0.000 3.890 0.000
-1.908 0.000 5.630
ATOMIC_POSITIONS crystal
Mg 0.000 0.000 0.000
Mg 0.332 0.500 0.664
Fe 0.763 0.000 0.524
Te 0.607 0.500 0.216

***

Entry 19:
! AcNdP | Alexandria | GGA-PBE | relaxed; values from VASP
! Calculated formation energy: -883 meV per atom
! Volume: 105.3 Å³/f.u.
! Density of states at the Fermi level: 3.43 states/eV per cell
! Space group: No. 156
! Polymorph energy (0 for the lowest one): 0 meV per atom
&SYSTEM
  ibrav = 0, nat = 3, ntyp = 3
/
ATOMIC_SPECIES
Ac 227.00 Ac.upf
Nd 144.24 Nd.upf
P 30.97 P.upf
CELL_PARAMETERS angstrom
4.156 0.000 0.000
-2.078 3.599 0.000
0.000 0.000 7.038
ATOMIC_POSITIONS crystal
Ac 0.000 0.000 0.000
Nd 0.667 0.333 0.518
P 0.333 0.667 0.737

***

Entry 20:
! BaCaP2 | Alexandria | GGA-PBE | relaxed; values from VASP
! Calculated formation energy: -648 meV per atom
! Volume: 115.5 Å³/f.u.
! Density of states at the Fermi level: 14.70 states/eV per cell
! Space group: No. 166
! Polymorph energy (0 for the lowest one): 248 meV per atom
&SYSTEM
  ibrav = 0, nat = 12, ntyp = 3
/
ATOMIC_SPECIES
Ba 137.33 Ba.upf
Ca 40.08 Ca.upf
P 30.97 P.upf
CELL_PARAMETERS angstrom
4.700 0.000 0.000
-2.350 4.070 0.000
0.000 0.000 18.115
ATOMIC_POSITIONS crystal
Ba 0.000 0.000 0.000
Ba 0.333 0.667 0.667
Ba 0.667 0.333 0.333
Ca 0.000 0.000 0.500
Ca 0.333 0.667 0.167
Ca 0.667 0.333 0.833
P 0.000 0.000 0.233
P 0.000 0.000 0.767
P 0.333 0.667 0.434
P 0.333 0.667 0.900
P 0.667 0.333 0.100
P 0.667 0.333 0.566

***

| no. | magnetic moment (μB per atom) |
| --- | --- |
| 1 | 3.682 |
| 2 | 1.631 |
| 3 | 0.524 |
| 4 | 0.000 |
| 5 | 1.332 |
| 6 | 0.000 |
| 7 | 0.000 |
| 8 | 0.000 |
| 9 | 0.000 |
| 10 | 0.000 |
| 11 | 0.000 |
| 12 | 0.002 |
| 13 | 0.000 |
| 14 | 0.429 |
| 15 | 0.110 |
| 16 | 0.000 |
| 17 | 0.000 |
| 18 | 0.576 |
| 19 | 0.222 |
| 20 | 0.000 |